Cd2SiOs | PBE-GGA | optimized geometry

Results
spin magnetization: 0.0 μB/f.u.
raw formation energy: 0.56 eV/atom

Lattice parameters (Å, degrees): 4.9334 4.9334 3.2189 90.00 90.00 116.23
Last column: nearest neighbours and their distance in Å.
Element x y z (fractional)
1 Cd 0.0000 0.5000 0.0000  2 Cd 2.61
2 Cd 0.5000 0.0000 0.0000  2 Cd 2.61
3 Si 0.0000 0.0000 0.5000  2 Os 2.61
4 Os 0.5000 0.5000 0.5000  2 Si 2.61



Ac2HgP3Pd4 | PBE-GGA | optimized geometry

Results
spin magnetization: 0.0 μB/f.u.
calculated formation energy: -0.80 eV per atom

Lattice parameters (Å, degrees): 4.3505 4.3505 10.6520 90.00 90.00 90.00
Last column: nearest neighbours and their distance in Å.
Element x y z (fractional)
1 Ac 0.0000 0.5000 0.2379  8 Pd 3.28-3.34, 6 P 3.31-3.54, 2 Hg 3.54
2 Ac 0.5000 0.0000 0.7621  8 Pd 3.28-3.34, 6 P 3.31-3.54, 2 Hg 3.54
3 Hg 0.0000 0.0000 0.5000  4 Pd 2.72
4 P 0.0000 0.5000 0.8766  5 Pd 2.37-2.54
5 P 0.5000 0.0000 0.1234  5 Pd 2.37-2.54
6 P 0.5000 0.5000 0.5000  4 Pd 2.72
7 Pd 0.0000 0.0000 0.0000  4 P 2.54
8 Pd 0.0000 0.5000 0.6540  1 P 2.37
9 Pd 0.5000 0.0000 0.3460  1 P 2.37
10 Pd 0.5000 0.5000 0.0000  4 P 2.54



AgSb2Br | PBE-GGA | optimized geometry

Results
excess energy over the best structure of this formula in the dataset: 0.299 eV/atom
spin magnetization: 0.0 μB/f.u.
raw formation energy: 0.17 eV/atom

Lattice parameters (Å, degrees): 5.2363 5.2363 5.2363 60.00 60.00 60.00
Last column: nearest neighbours and their distance in Å.
Element x y z (fractional)
1 Ag 0.0000 0.0000 0.0000  4 Br 3.21, 4 Sb 3.21
2 Sb 0.2500 0.2500 0.2500  4 Sb 3.21, 4 Ag 3.21
3 Sb 0.5000 0.5000 0.5000  4 Br 3.21, 4 Sb 3.21
4 Br 0.7500 0.7500 0.7500  4 Ag 3.21, 4 Sb 3.21



CdNi2Sb | PBE-GGA | optimized geometry

Results
spin magnetization: 0.0 μB/f.u.
raw formation energy: 0.13 eV/atom

Lattice parameters (Å, degrees): 4.3235 4.3235 5.3658 102.37 102.37 44.09
Last column: nearest neighbours and their distance in Å.
Element x y z (fractional)
1 Cd 0.0000 0.0000 0.0000  6 Ni 2.76-2.78
2 Ni 0.2448 0.2448 0.7142  3 Sb 2.57-2.60, 3 Cd 2.76-2.78, 2 Ni 2.83
3 Ni 0.7552 0.7552 0.2858  3 Sb 2.57-2.60, 3 Cd 2.76-2.78, 2 Ni 2.83
4 Sb 0.5000 0.5000 0.5000  6 Ni 2.57-2.60



MnTlHg2Br | PBE-GGA | optimized geometry

Results
spin magnetization: 4.0 μB/f.u.
raw formation energy: 0.04 eV/atom

Lattice parameters (Å, degrees): 5.4218 5.4218 5.2012 90.00 90.00 90.00
Last column: nearest neighbours and their distance in Å.
Element x y z (fractional)
1 Mn 0.0000 0.0000 0.0000  2 Br 2.60, 4 Hg 2.71
2 Tl 0.5000 0.5000 0.5000  8 Hg 3.76, 4 Br 3.83
3 Hg 0.0000 0.5000 0.0000  2 Mn 2.71
4 Hg 0.5000 0.0000 0.0000  2 Mn 2.71
5 Br 0.0000 0.0000 0.5000  2 Mn 2.60



BaSi2Os | PBE-GGA | optimized geometry

Results
spin magnetization: 0.0 μB/f.u.
raw formation energy: 0.08 eV/atom

Lattice parameters (Å, degrees): 3.2463 3.2463 7.5574 90.00 90.00 90.00
Last column: nearest neighbours and their distance in Å.
Element x y z (fractional)
1 Ba 0.0000 0.0000 0.0000  4 Ba 3.25, 5 Si 3.38-3.60, 4 Os 3.50
2 Si 0.0000 0.0000 0.4761  4 Os 2.49, 4 Si 2.73
3 Si 0.5000 0.5000 0.6712  1 Os 2.43
4 Os 0.5000 0.5000 0.3499  5 Si 2.43-2.49